Ce4PuTh3N8 PBE relaxed; space-group type = No. 166; formation energy without anion corrections = -1.498 eV per atom; DOS(E_F) = 18.970 states/eV/cell
1.0
3.6038 2.0806 5.8835
-3.6038 2.0806 5.8835
0.0000 -4.1613 5.8835
Ce Pu Th N
4 1 3 8
Cartesian
0.0000 0.0000 0.0000
-1.8019 -1.0403 5.8835
-1.8019 1.0403 11.7670
0.0000 2.0806 5.8835
0.0000 0.0000 8.8253
-3.6038 0.0000 8.8252
-1.8019 1.0403 2.9417
1.8019 1.0403 2.9418
0.0000 0.0000 4.4201
0.0000 -2.0617 7.3575
-1.7855 1.0309 7.3575
-1.7855 -1.0309 10.2930
1.7855 1.0309 7.3575
1.7855 -1.0309 10.2930
0.0000 2.0617 10.2930
0.0000 0.0000 13.2304

---

Cr3SiSb PBE relaxed; space-group type = No. 221; distance to the lowest polymorph of the same formula = 1.201 eV per atom; formation energy without anion corrections = 2.055 eV per atom; DOS(E_F) = 9.456 states/eV/cell
1.0
4.6538 0.0000 0.0000
0.0000 4.6538 0.0000
0.0000 0.0000 4.6538
Cr Si Sb
3 1 1
Cartesian
0.0000 0.0000 2.3269
0.0000 2.3269 0.0000
2.3269 0.0000 0.0000
2.3269 2.3269 2.3269
0.0000 0.0000 0.0000

---

Nd3YEr2 PBE relaxed; space-group type = No. 11; distance to the lowest polymorph of the same formula = 0.000 eV per atom; DOS(E_F) = 20.542 states/eV/cell
1.0
9.8927 0.0000 0.0000
0.0000 3.4880 0.0000
-3.6264 0.0000 11.7647
Nd Y Er
6 2 4
Cartesian
-0.6897 0.8720 4.6178
0.6908 2.6160 1.5735
-1.2046 2.6160 10.3086
7.4709 0.8720 1.4561
5.5755 0.8720 10.1912
6.9560 2.6160 7.1469
0.7420 2.6160 7.4695
5.5243 0.8720 4.2952
2.5299 2.6160 4.5297
4.3329 2.6160 1.4372
1.9334 0.8720 10.3275
3.7364 0.8720 7.2350

---

BaAlHg2O PBE relaxed; space-group type = No. 123; formation energy without anion corrections = -0.028 eV per atom; DOS(E_F) = 3.128 states/eV/cell
1.0
4.8939 0.0000 0.0000
0.0000 4.8939 0.0000
0.0000 0.0000 6.9807
Ba Al Hg O
1 1 2 1
Cartesian
0.0000 0.0000 0.0000
0.0000 0.0000 3.4903
0.0000 2.4469 3.4903
2.4469 0.0000 3.4903
2.4469 2.4469 0.0000